(1)
Nd5Sm5Y2 | PBE-GGA | optimized geometry

a = 8.149 Å, b = 8.149 Å, c = 11.516 Å
α = 115.09°, β = 115.09°, γ = 36.84°
Positions (direct):
Nd1 0.000 0.000 0.000
Nd2 0.166 0.166 0.499
Nd3 0.251 0.251 0.250
Nd4 0.749 0.749 0.750
Nd5 0.834 0.834 0.501
Sm1 0.333 0.333 0.000
Sm2 0.417 0.417 0.751
Sm3 0.500 0.500 0.500
Sm4 0.583 0.583 0.249
Sm5 0.667 0.667 0.000
Y1 0.083 0.083 0.751
Y2 0.917 0.917 0.249

Summary:
- Total energy: -60.19 eV for the cell shown
- ΔH_f (0 K): 16 kJ/mol of formula units

***

(2)
Tc2BiIrI | PBE-GGA | optimized geometry

a = 5.153 Å, b = 5.153 Å, c = 5.957 Å
α = 90.00°, β = 90.00°, γ = 90.00°
Positions (direct):
Tc1 0.000 0.500 0.000
Tc2 0.500 0.000 0.000
Bi1 0.000 0.000 0.000
Ir1 0.500 0.500 0.500
I1 0.000 0.000 0.500

Summary:
- ΔE_f (raw): 13.336 eV per formula unit
- Total energy: -21.69 eV for the cell shown

***

(3)
Ce5RuPb | PBE-GGA | optimized geometry

a = 7.305 Å, b = 7.305 Å, c = 9.166 Å
α = 108.55°, β = 108.55°, γ = 52.73°
Positions (direct):
Ce1 0.210 0.218 0.105
Ce2 0.218 0.210 0.605
Ce3 0.242 0.758 0.750
Ce4 0.349 0.369 0.432
Ce5 0.369 0.349 0.932
Ce6 0.631 0.651 0.068
Ce7 0.651 0.631 0.568
Ce8 0.758 0.242 0.250
Ce9 0.782 0.790 0.395
Ce10 0.790 0.782 0.895
Ru1 0.000 0.000 0.000
Ru2 0.000 0.000 0.500
Pb1 0.254 0.746 0.250
Pb2 0.746 0.254 0.750

Summary:
- Total energy: -86.41 eV for the cell shown
- ΔH_f (0 K): -53 kJ/mol of formula units

***

(4)
KGa3B4O12 | PBE-GGA | optimized geometry

a = 6.141 Å, b = 6.141 Å, c = 6.141 Å
α = 102.95°, β = 102.95°, γ = 102.95°
Positions (direct):
K1 0.000 0.000 0.000
Ga1 0.000 0.556 0.444
Ga2 0.444 0.000 0.556
Ga3 0.556 0.444 0.000
B1 0.055 0.500 0.945
B2 0.500 0.500 0.500
B3 0.500 0.945 0.055
B4 0.945 0.055 0.500
O1 0.019 0.602 0.771
O2 0.091 0.909 0.500
O3 0.229 0.398 0.981
O4 0.355 0.645 0.500
O5 0.398 0.981 0.229
O6 0.500 0.091 0.909
O7 0.500 0.355 0.645
O8 0.602 0.771 0.019
O9 0.645 0.500 0.355
O10 0.771 0.019 0.602
O11 0.909 0.500 0.091
O12 0.981 0.229 0.398

Summary:
- ΔE_f (raw): -38.717 eV per formula unit
- Total energy: -135.10 eV for the cell shown

***

(5)
Te2W3S4 | PBE-GGA | optimized geometry

a = 3.300 Å, b = 3.300 Å, c = 22.396 Å
α = 90.00°, β = 90.00°, γ = 120.00°
Positions (direct):
Te1 0.000 0.000 0.000
Te2 0.000 0.000 0.172
W1 0.000 0.000 0.415
W2 0.333 0.667 0.086
W3 0.333 0.667 0.724
S1 0.000 0.000 0.656
S2 0.000 0.000 0.793
S3 0.333 0.667 0.347
S4 0.333 0.667 0.484

Summary:
- ΔE_f (raw): -4.527 eV per formula unit
- Total energy: -66.18 eV for the cell shown

***

(6)
NaGaAsI2 | PBE-GGA | optimized geometry

a = 6.008 Å, b = 6.008 Å, c = 4.996 Å
α = 90.00°, β = 90.00°, γ = 90.00°
Positions (direct):
Na1 0.000 0.000 0.000
Ga1 0.500 0.500 0.500
As1 0.500 0.500 0.000
I1 0.000 0.500 0.500
I2 0.500 0.000 0.500

Summary:
- ΔE_f (raw): -0.866 eV per formula unit
- Total energy: -12.96 eV for the cell shown

***

(7)
Ho4Cd2In5 | PBE-GGA | optimized geometry

a = 8.364 Å, b = 3.580 Å, c = 9.662 Å
α = 90.00°, β = 90.77°, γ = 90.00°
Positions (direct):
Ho1 0.225 0.000 0.134
Ho2 0.251 0.000 0.622
Ho3 0.749 0.000 0.378
Ho4 0.775 0.000 0.866
Cd1 0.083 0.500 0.376
Cd2 0.917 0.500 0.624
In1 0.116 0.500 0.876
In2 0.434 0.500 0.353
In3 0.500 0.500 0.000
In4 0.566 0.500 0.647
In5 0.884 0.500 0.124

Summary:
- Total energy: -37.70 eV for the cell shown
- ΔH_f (0 K): -373 kJ/mol of formula units

***

(8)
CePr3Nd2Se6 | PBE-GGA | optimized geometry

a = 7.347 Å, b = 7.347 Å, c = 7.361 Å
α = 99.57°, β = 99.57°, γ = 120.10°
Positions (direct):
Ce1 0.000 0.000 0.000
Pr1 0.170 0.830 0.500
Pr2 0.500 0.500 0.500
Pr3 0.830 0.170 0.500
Nd1 0.333 0.667 0.000
Nd2 0.667 0.333 0.000
Se1 0.082 0.412 0.245
Se2 0.248 0.248 0.752
Se3 0.412 0.082 0.245
Se4 0.588 0.918 0.755
Se5 0.752 0.752 0.248
Se6 0.918 0.588 0.755

Summary:
- ΔE_f (raw): -22.124 eV per formula unit
- Total energy: -72.84 eV for the cell shown

***

(9)
YScSe3 | PBE-GGA | optimized geometry

a = 10.677 Å, b = 10.677 Å, c = 10.677 Å
α = 150.56°, β = 150.56°, γ = 42.12°
Positions (direct):
Y1 0.000 0.000 0.000
Y2 0.750 0.250 0.500
Sc1 0.167 0.667 0.500
Sc2 0.333 0.833 0.500
Se1 0.289 0.289 0.000
Se2 0.372 0.117 0.255
Se3 0.711 0.711 0.000
Se4 0.862 0.117 0.745
Se5 0.883 0.138 0.255
Se6 0.883 0.628 0.745

Summary:
- ΔE_f (raw): -5.153 eV per formula unit
- Total energy: -56.80 eV for the cell shown

***

(10)
K2LiTaI6 | PBE-GGA | optimized geometry

a = 8.204 Å, b = 8.204 Å, c = 8.204 Å
α = 60.00°, β = 60.00°, γ = 60.00°
Positions (direct):
K1 0.250 0.250 0.250
K2 0.750 0.750 0.750
Li1 0.000 0.000 0.000
Ta1 0.500 0.500 0.500
I1 0.255 0.255 0.745
I2 0.255 0.745 0.255
I3 0.255 0.745 0.745
I4 0.745 0.255 0.255
I5 0.745 0.255 0.745
I6 0.745 0.745 0.255

Summary:
- ΔE_f (raw): -8.368 eV per formula unit
- Total energy: -33.63 eV for the cell shown

***

(11)
LaZnSn2 | PBE-GGA | optimized geometry

a = 4.708 Å, b = 4.708 Å, c = 4.632 Å
α = 90.00°, β = 90.00°, γ = 90.00°
Positions (direct):
La1 0.000 0.000 0.000
Zn1 0.500 0.500 0.000
Sn1 0.000 0.500 0.500
Sn2 0.500 0.000 0.500

Summary:
- Total energy: -16.16 eV for the cell shown
- ΔH_f (0 K): -189 kJ/mol of formula units

***

(12)
Mg2AlTe | PBE-GGA | optimized geometry

a = 8.469 Å, b = 8.469 Å, c = 8.469 Å
α = 26.16°, β = 26.16°, γ = 26.16°
Positions (direct):
Mg1 0.000 0.000 0.000
Mg2 0.239 0.239 0.239
Al1 0.488 0.488 0.488
Te1 0.752 0.752 0.752

Summary:
- ΔE_f (raw): -0.139 eV per formula unit
- Total energy: -10.21 eV for the cell shown

***

(13)
Ac8PrY6 | PBE-GGA | optimized geometry

a = 10.044 Å, b = 10.044 Å, c = 7.163 Å
α = 90.00°, β = 90.00°, γ = 120.00°
Positions (direct):
Ac1 0.051 0.692 0.114
Ac2 0.308 0.359 0.114
Ac3 0.333 0.667 0.726
Ac4 0.359 0.051 0.886
Ac5 0.641 0.949 0.114
Ac6 0.667 0.333 0.274
Ac7 0.692 0.641 0.886
Ac8 0.949 0.308 0.886
Pr1 0.000 0.000 0.500
Y1 0.036 0.366 0.402
Y2 0.330 0.964 0.402
Y3 0.366 0.330 0.598
Y4 0.634 0.670 0.402
Y5 0.670 0.036 0.598
Y6 0.964 0.634 0.598

Summary:
- Total energy: -72.78 eV for the cell shown
- ΔH_f (0 K): 352 kJ/mol of formula units

***

(14)
Tl7Mo6 | PBE-GGA | optimized geometry

a = 10.815 Å, b = 10.815 Å, c = 10.815 Å
α = 30.35°, β = 30.35°, γ = 30.35°
Positions (direct):
Tl1 0.000 0.000 0.000
Tl2 0.081 0.081 0.576
Tl3 0.081 0.576 0.081
Tl4 0.424 0.919 0.919
Tl5 0.576 0.081 0.081
Tl6 0.919 0.424 0.919
Tl7 0.919 0.919 0.424
Mo1 0.164 0.164 0.164
Mo2 0.326 0.326 0.326
Mo3 0.466 0.466 0.466
Mo4 0.534 0.534 0.534
Mo5 0.674 0.674 0.674
Mo6 0.836 0.836 0.836

Summary:
- Total energy: -65.91 eV for the cell shown
- ΔH_f (0 K): 1509 kJ/mol of formula units

***

(15)
DyPaS3 | PBE-GGA | optimized geometry

a = 7.802 Å, b = 7.802 Å, c = 7.802 Å
α = 50.22°, β = 50.22°, γ = 50.22°
Positions (direct):
Dy1 0.156 0.156 0.156
Dy2 0.844 0.844 0.844
Pa1 0.343 0.343 0.343
Pa2 0.657 0.657 0.657
S1 0.055 0.447 0.751
S2 0.249 0.553 0.945
S3 0.447 0.751 0.055
S4 0.553 0.945 0.249
S5 0.751 0.055 0.447
S6 0.945 0.249 0.553

Summary:
- ΔE_f (raw): -8.158 eV per formula unit
- Total energy: -69.28 eV for the cell shown